*1*
A relaxed structure of LaCoP2O. Source: the Alexandria database, functional PBE+U.

Computed properties:
Space group: P4/mmm (123)
Calculated volume: 27.13 Å³ per atom

a b c (Å): 5.6893 5.6893 4.1910
angles (deg): 90.00 90.00 90.00
Closest atoms and distances in Å follow each position.
Fractional positions:
P 0.5000 0.0000 0.0000  2 La 2.84
P 0.0000 0.5000 0.0000  2 La 2.84
Co 0.5000 0.5000 0.5000  8 P 3.53
La 0.0000 0.0000 0.0000  2 O 2.10
O 0.0000 0.0000 0.5000  2 La 2.10

=====

*2*
A relaxed structure of LaCoP2O. Source: the Alexandria database, functional PBE+U.

Computed properties:
Space group: P4/mmm (123)
Calculated volume: 16.65 Å³ per atom

a b c (Å): 4.2564 4.2564 4.5959
angles (deg): 90.00 90.00 90.00
Closest atoms and distances in Å follow each position.
Fractional positions:
O 0.0000 0.0000 0.5000  2 Co 2.30
P 0.5000 0.0000 0.0000  2 Co 2.13
P 0.0000 0.5000 0.0000  2 Co 2.13
Co 0.0000 0.0000 0.0000  4 P 2.13, 2 O 2.30
La 0.5000 0.5000 0.5000  4 O 3.01, 8 P 3.13

=====

Relative energies, kJ/mol of atoms: *1* 93.1; *2* 0.0.